(1)
K2MgSe at its PBEsol-relaxed geometry, computed with SCAN.

abc: 3.792 3.792 10.028
angles: 90.00 90.00 90.00
Last column: magnetic moment on the atom in μB.
Fractional positions:
Se: 0.500 0.500 0.680  0.06
K: 0.500 0.500 0.319  0.03
K: 0.000 0.000 0.913  0.01
Mg: 0.000 0.000 0.588  0.07

Values from the calculation:
The polymorph energy (0 for the lowest one) is 0.0 meV/atom. As for the formation energy without anion corrections: -54.3 kJ per mole of atoms. Its total energy is -10.9904 eV/atom. The calculation puts the total magnetization at 0.80 Bohr magnetons per cell. As for the space group: P4mm.



(2)
SrZnRe2 at its PBEsol-relaxed geometry, computed with SCAN.

abc: 2.775 4.174 6.642
angles: 90.00 90.00 90.00
Fractional positions:
Sr: 0.500 0.500 0.000
Re: 0.000 0.000 0.327
Re: 0.000 0.000 0.673
Zn: 0.500 0.500 0.500

Values from the calculation:
For the formation energy, the calculation gives 310 kJ/mol of formula units. Its total energy is -43.6933 eV/atom. The calculation puts the total magnetization at 0.00 Bohr magnetons per cell. As for the space group: Pmmm.



(3)
TaTl2W at its PBEsol-relaxed geometry, computed with SCAN.

abc: 3.010 3.010 10.208
angles: 90.00 90.00 113.43
Fractional positions:
Tl: 0.000 0.000 0.023
Tl: 0.500 0.500 0.723
W: 0.000 0.000 0.473
Ta: 0.500 0.500 0.281

Values from the calculation:
The polymorph energy (0 for the lowest one) is 0.0 meV/atom. For the formation energy, the calculation gives 202 kJ/mol of formula units. Its total energy is -69.7248 eV/atom. The calculation puts the total magnetization at 0.00 Bohr magnetons per cell. As for the space group: Cmm2.



(4)
CdInRu at its PBEsol-relaxed geometry, computed with SCAN.

abc: 3.285 3.285 5.444
angles: 107.56 107.56 90.00
Fractional positions:
In: 0.315 0.315 0.630
Ru: 0.674 0.674 0.347
Cd: 0.011 0.011 0.022

Values from the calculation:
For the formation energy, the calculation gives 60 kJ/mol of formula units. Its total energy is -32.6692 eV/atom. The calculation puts the total magnetization at 0.00 Bohr magnetons per cell. As for the space group: I4mm.



(5)
KAlP4O12 at its PBEsol-relaxed geometry, computed with SCAN.

abc: 5.093 10.350 10.350
angles: 72.43 81.76 81.76
Fractional positions:
Al: 0.000 0.000 0.500
Al: 0.000 0.500 0.000
P: 0.835 0.800 0.355
P: 0.835 0.355 0.800
P: 0.165 0.200 0.645
P: 0.529 0.068 0.312
P: 0.471 0.688 0.932
P: 0.471 0.932 0.688
P: 0.165 0.645 0.200
P: 0.529 0.312 0.068
O: 0.765 0.651 0.911
O: 0.000 0.214 0.786
O: 0.294 0.597 0.905
O: 0.235 0.349 0.089
O: 0.013 0.856 0.426
O: 0.714 0.432 0.674
O: 0.389 0.079 0.709
O: 0.389 0.709 0.079
O: 0.987 0.144 0.574
O: 0.599 0.160 0.160
O: 0.401 0.840 0.840
O: 0.286 0.326 0.568
O: 0.611 0.291 0.921
O: 0.987 0.574 0.144
O: 0.013 0.426 0.856
O: 0.765 0.911 0.651
O: 0.286 0.568 0.326
O: 0.714 0.674 0.432
O: 0.706 0.095 0.403
O: 0.235 0.089 0.349
O: 0.611 0.921 0.291
O: 0.706 0.403 0.095
O: 0.000 0.786 0.214
O: 0.294 0.905 0.597
K: 0.744 0.409 0.409
K: 0.256 0.591 0.591

Values from the calculation:
As for the formation energy without anion corrections: -250.8 kJ per mole of atoms. Its total energy is -9.9581 eV/atom. The calculation puts the total magnetization at 0.00 Bohr magnetons per cell. As for the space group: C2/m.



(6)
Cs2CaYOs at its PBEsol-relaxed geometry, computed with SCAN.

abc: 4.961 6.201 6.201
angles: 90.00 90.00 90.00
Last column: magnetic moment on the atom in μB.
Fractional positions:
Os: 0.500 0.000 0.000  -0.54
Cs: 0.000 0.500 0.000  0.03
Cs: 0.000 0.000 0.500  0.03
Y: 0.500 0.500 0.500  0.55
Ca: 0.000 0.000 0.000  0.01

Values from the calculation:
For the formation energy, the calculation gives 773 kJ/mol of formula units. Its total energy is -35.3996 eV/atom. The calculation puts the total magnetization at 0.84 Bohr magnetons per cell. As for the space group: P4/mmm.



(7)
GaAg2O at its PBEsol-relaxed geometry, computed with SCAN.

abc: 4.307 4.307 4.307
angles: 60.00 60.00 60.00
Fractional positions:
O: 0.000 0.000 0.000
Ag: 0.750 0.750 0.750
Ag: 0.250 0.250 0.250
Ga: 0.500 0.500 0.500

Values from the calculation:
As for the formation energy without anion corrections: 7.1 kJ per mole of atoms. Its total energy is -21.2540 eV/atom. The calculation puts the total magnetization at 0.00 Bohr magnetons per cell. As for the space group: Fm-3m.



(8)
CsMn2SiPt at its PBEsol-relaxed geometry, computed with SCAN.

abc: 4.762 4.762 5.189
angles: 90.00 90.00 90.00
Last column: magnetic moment on the atom in μB.
Fractional positions:
Pt: 0.500 0.500 0.500  0.08
Mn: 0.000 0.500 0.000  3.78
Mn: 0.500 0.000 0.000  3.78
Cs: 0.000 0.000 0.000  0.23
Si: 0.000 0.000 0.500  -0.03

Values from the calculation:
As for the formation energy without anion corrections: 245.8 kJ per mole of atoms. Its total energy is -28.3584 eV/atom. The calculation puts the total magnetization at 7.46 Bohr magnetons per cell. As for the space group: P4/mmm.



(9)
AlAg3 at its PBEsol-relaxed geometry, computed with SCAN.

abc: 2.869 2.869 15.919
angles: 90.00 90.00 90.00
Fractional positions:
Ag: 0.000 0.500 0.811
Ag: 0.500 0.000 0.189
Ag: 0.000 0.500 0.319
Ag: 0.000 0.500 0.063
Ag: 0.500 0.000 0.937
Ag: 0.500 0.000 0.681
Al: 0.000 0.500 0.562
Al: 0.500 0.000 0.438

Values from the calculation:
For the formation energy, the calculation gives -7 kJ/mol of formula units. Its total energy is -25.4815 eV/atom. The calculation puts the total magnetization at 0.00 Bohr magnetons per cell. As for the space group: P4/nmm.



(10)
Li2FeMo at its PBEsol-relaxed geometry, computed with SCAN.

abc: 3.329 3.329 5.147
angles: 108.87 108.87 90.00
Fractional positions:
Mo: 0.500 0.500 0.000
Li: 0.750 0.250 0.500
Li: 0.250 0.750 0.500
Fe: 0.000 0.000 0.000

Values from the calculation:
The polymorph energy (0 for the lowest one) is 119.5 meV/atom. For the formation energy, the calculation gives 182 kJ/mol of formula units. Its total energy is -13.9776 eV/atom. The calculation puts the total magnetization at 0.00 Bohr magnetons per cell. As for the space group: I4/mmm.



(11)
ScHg2Ir at its PBEsol-relaxed geometry, computed with SCAN.

abc: 3.210 3.210 8.995
angles: 79.72 79.72 60.00
Fractional positions:
Ir: 0.507 0.507 0.480
Hg: 0.997 0.997 0.008
Hg: 0.756 0.756 0.733
Sc: 0.241 0.241 0.278

Values from the calculation:
The polymorph energy (0 for the lowest one) is 88.0 meV/atom. For the formation energy, the calculation gives -60 kJ/mol of formula units. Its total energy is -55.5732 eV/atom. The calculation puts the total magnetization at 0.00 Bohr magnetons per cell. As for the space group: R3m.



(12)
TcIr3 at its PBEsol-relaxed geometry, computed with SCAN.

abc: 2.725 4.345 4.728
angles: 90.00 90.00 90.00
Fractional positions:
Ir: 0.500 0.500 0.832
Ir: 0.000 0.000 0.002
Ir: 0.500 0.000 0.501
Tc: 0.000 0.500 0.332

Values from the calculation:
For the formation energy, the calculation gives -66 kJ/mol of formula units. Its total energy is -62.2604 eV/atom. The calculation puts the total magnetization at 0.00 Bohr magnetons per cell. As for the space group: Pmm2.



(13)
MgSc2Ta at its PBEsol-relaxed geometry, computed with SCAN.

abc: 3.014 3.014 9.367
angles: 90.00 90.00 92.57
Fractional positions:
Sc: 0.000 0.000 0.728
Sc: 0.000 0.000 0.272
Ta: 0.500 0.500 0.500
Mg: 0.500 0.500 0.000

Values from the calculation:
For the formation energy, the calculation gives 24 kJ/mol of formula units. Its total energy is -24.9455 eV/atom. The calculation puts the total magnetization at 0.11 Bohr magnetons per cell. As for the space group: Cmmm.



(14)
LiScNbNi2 at its PBEsol-relaxed geometry, computed with SCAN.

abc: 4.191 4.293 4.293
angles: 90.00 90.00 90.00
Last column: magnetic moment on the atom in μB.
Fractional positions:
Ni: 0.000 0.000 0.500  0.16
Ni: 0.000 0.500 0.000  0.16
Nb: 0.500 0.500 0.500  1.00
Sc: 0.000 0.000 0.000  -0.10
Li: 0.500 0.000 0.000  0.02

Values from the calculation:
For the formation energy, the calculation gives 449 kJ/mol of formula units. Its total energy is -15.4895 eV/atom. The calculation puts the total magnetization at 1.64 Bohr magnetons per cell. As for the space group: P4/mmm.



(15)
GeSb2Te4 at its PBEsol-relaxed geometry, computed with SCAN.

abc: 4.237 4.237 13.652
angles: 81.06 81.06 60.04
Fractional positions:
Sb: 0.428 0.428 0.715
Sb: 0.997 0.997 0.009
Te: 0.869 0.869 0.394
Te: 0.287 0.287 0.140
Te: 0.711 0.711 0.866
Te: 0.137 0.137 0.587
Ge: 0.570 0.570 0.289

Values from the calculation:
As for the formation energy without anion corrections: -7.2 kJ per mole of atoms. Its total energy is -34.7334 eV/atom. The calculation puts the total magnetization at 0.00 Bohr magnetons per cell. As for the space group: R3m.



(16)
CsInO3 at its PBEsol-relaxed geometry, computed with SCAN.

abc: 4.443 4.443 4.443
angles: 90.00 90.00 90.00
Fractional positions:
O: 0.000 0.000 0.500
O: 0.500 0.000 0.000
O: 0.000 0.500 0.000
Cs: 0.000 0.000 0.000
In: 0.500 0.500 0.500

Values from the calculation:
As for the formation energy without anion corrections: 44.4 kJ per mole of atoms. Its total energy is -17.5178 eV/atom. The calculation puts the total magnetization at 0.00 Bohr magnetons per cell. As for the space group: Pm-3m.



(17)
Zn2GaPt2 at its PBEsol-relaxed geometry, computed with SCAN.

abc: 3.455 6.656 6.656
angles: 90.00 90.00 90.00
Fractional positions:
Pt: 0.000 0.654 0.154
Pt: 0.000 0.346 0.846
Pt: 0.000 0.154 0.346
Pt: 0.000 0.846 0.654
Zn: 0.500 0.145 0.645
Zn: 0.500 0.645 0.855
Zn: 0.500 0.855 0.355
Zn: 0.500 0.355 0.145
Ga: 0.000 0.500 0.500
Ga: 0.000 0.000 0.000

Values from the calculation:
For the formation energy, the calculation gives -241 kJ/mol of formula units. Its total energy is -37.2514 eV/atom. The calculation puts the total magnetization at 0.00 Bohr magnetons per cell. As for the space group: P4/mbm.



(18)
MnSiP2 at its PBEsol-relaxed geometry, computed with SCAN.

abc: 3.407 3.408 4.923
angles: 89.96 90.00 90.00
Last column: magnetic moment on the atom in μB.
Fractional positions:
P: 0.500 0.496 0.363  -0.03
P: 0.000 0.005 0.877  -0.08
Si: 0.000 0.993 0.394  0.01
Mn: 0.500 0.505 0.867  3.60

Values from the calculation:
As for the formation energy without anion corrections: -17.3 kJ per mole of atoms. Its total energy is -12.4461 eV/atom. The calculation puts the total magnetization at 3.63 Bohr magnetons per cell. As for the space group: Pm.



(19)
MgCr2In at its PBEsol-relaxed geometry, computed with SCAN.

abc: 3.758 3.758 5.022
angles: 111.97 111.97 90.00
Last column: magnetic moment on the atom in μB.
Fractional positions:
Mg: 0.000 0.000 0.000  -0.02
Cr: 0.750 0.250 0.500  0.93
Cr: 0.250 0.750 0.500  0.93
In: 0.500 0.500 0.000  -0.09

Values from the calculation:
For the formation energy, the calculation gives 207 kJ/mol of formula units. Its total energy is -18.2470 eV/atom. The calculation puts the total magnetization at 1.75 Bohr magnetons per cell. As for the space group: I4/mmm.



(20)
Rb2TaCdSb at its PBEsol-relaxed geometry, computed with SCAN.

abc: 5.480 6.396 6.396
angles: 90.00 90.00 90.00
Last column: magnetic moment on the atom in μB.
Fractional positions:
Cd: 0.500 0.000 0.000  0.08
Rb: 0.000 0.000 0.500  0.08
Rb: 0.000 0.500 0.000  0.08
Sb: 0.500 0.500 0.500  -0.54
Ta: 0.000 0.000 0.000  2.42

Values from the calculation:
As for the formation energy without anion corrections: 125.2 kJ per mole of atoms. Its total energy is -33.8494 eV/atom. The calculation puts the total magnetization at 3.07 Bohr magnetons per cell. As for the space group: P4/mmm.



(21)
LaHf2CdAg at its PBEsol-relaxed geometry, computed with SCAN.

abc: 5.133 5.133 5.559
angles: 90.00 90.00 90.00
Fractional positions:
Ag: 0.500 0.500 0.500
Hf: 0.000 0.500 0.000
Hf: 0.500 0.000 0.000
Cd: 0.000 0.000 0.500
La: 0.000 0.000 0.000

Values from the calculation:
For the formation energy, the calculation gives 810 kJ/mol of formula units. Its total energy is -44.3679 eV/atom. The calculation puts the total magnetization at 0.00 Bohr magnetons per cell. As for the space group: P4/mmm.



(22)
La4FePb at its PBEsol-relaxed geometry, computed with SCAN.

abc: 6.304 6.304 6.304
angles: 60.00 60.00 60.00
Last column: magnetic moment on the atom in μB.
Fractional positions:
La: 0.375 0.375 0.874  -0.12
La: 0.375 0.874 0.375  -0.12
La: 0.874 0.375 0.375  -0.12
La: 0.375 0.375 0.375  -0.12
Pb: 0.750 0.750 0.750  0.01
Fe: 0.000 0.000 0.000  3.16

Values from the calculation:
For the formation energy, the calculation gives 211 kJ/mol of formula units. Its total energy is -44.0238 eV/atom. The calculation puts the total magnetization at 2.24 Bohr magnetons per cell. As for the space group: F-43m.



(23)
P2WICl at its PBEsol-relaxed geometry, computed with SCAN.

abc: 4.737 4.737 4.741
angles: 90.00 90.00 90.00
Fractional positions:
Cl: 0.000 0.000 0.500
W: 0.000 0.000 0.000
I: 0.500 0.500 0.500
P: 0.000 0.500 0.000
P: 0.500 0.000 0.000

Values from the calculation:
As for the formation energy without anion corrections: 34.1 kJ per mole of atoms. Its total energy is -26.6870 eV/atom. The calculation puts the total magnetization at 0.00 Bohr magnetons per cell. As for the space group: P4/mmm.



(24)
HgPt2Se2 at its PBEsol-relaxed geometry, computed with SCAN.

abc: 3.847 3.847 7.533
angles: 104.79 104.79 90.00
Fractional positions:
Hg: 0.000 0.000 0.000
Pt: 0.750 0.250 0.500
Pt: 0.250 0.750 0.500
Se: 0.371 0.371 0.742
Se: 0.629 0.629 0.258

Values from the calculation:
As for the formation energy without anion corrections: 10.5 kJ per mole of atoms. Its total energy is -49.6332 eV/atom. The calculation puts the total magnetization at 0.00 Bohr magnetons per cell. As for the space group: I4/mmm.



(25)
KIr2W at its PBEsol-relaxed geometry, computed with SCAN.

abc: 2.715 2.715 9.789
angles: 90.00 90.00 90.00
Fractional positions:
Ir: 0.500 0.500 0.204
Ir: 0.000 0.000 0.010
W: 0.500 0.500 0.809
K: 0.000 0.000 0.477

Values from the calculation:
The polymorph energy (0 for the lowest one) is 453.4 meV/atom. For the formation energy, the calculation gives 269 kJ/mol of formula units. Its total energy is -54.3562 eV/atom. The calculation puts the total magnetization at 0.00 Bohr magnetons per cell. As for the space group: P4mm.



(26)
KAgSb4 at its PBEsol-relaxed geometry, computed with SCAN.

abc: 6.246 6.246 6.246
angles: 60.00 60.00 60.00
Fractional positions:
K: 0.000 0.000 0.000
Sb: 0.376 0.871 0.376
Sb: 0.871 0.376 0.376
Sb: 0.376 0.376 0.376
Sb: 0.376 0.376 0.871
Ag: 0.750 0.750 0.750

Values from the calculation:
As for the formation energy without anion corrections: 9.9 kJ per mole of atoms. Its total energy is -31.3542 eV/atom. The calculation puts the total magnetization at 0.00 Bohr magnetons per cell. As for the space group: F-43m.



(27)
MnTl2Pd at its PBEsol-relaxed geometry, computed with SCAN.

abc: 4.707 4.707 4.707
angles: 60.00 60.00 60.00
Last column: magnetic moment on the atom in μB.
Fractional positions:
Tl: 0.250 0.250 0.250  -0.05
Tl: 0.750 0.750 0.750  -0.05
Mn: 0.000 0.000 0.000  4.07
Pd: 0.500 0.500 0.500  0.02

Values from the calculation:
For the formation energy, the calculation gives 19 kJ/mol of formula units. Its total energy is -48.8865 eV/atom. The calculation puts the total magnetization at 4.04 Bohr magnetons per cell. As for the space group: Fm-3m.